# Rb2HfPCl6

Crystalline Rb2HfPCl6 at its relaxed geometry (PBE, the Alexandria database).

## Properties
Its formation energy from raw total energies is -1278 meV per atom. Its space-group type is I4/mmm. The crystal system is tetragonal.

Structure (CIF):
```
data_Rb2HfPCl6
_symmetry_space_group_name_H-M 'P 1'
_symmetry_Int_Tables_number 1
_symmetry_space_group_name_Hall 'P 1'
_cell_length_a 7.4846
_cell_length_b 7.4846
_cell_length_c 7.4846
_cell_angle_alpha 111.66
_cell_angle_beta 111.66
_cell_angle_gamma 105.18
loop_
_atom_site_label
_atom_site_type_symbol
_atom_site_fract_x
_atom_site_fract_y
_atom_site_fract_z
Rb1 Rb 0.2500 0.7500 0.5000
Rb2 Rb 0.7500 0.2500 0.5000
Hf1 Hf 0.0000 0.0000 0.0000
P1 P 0.5000 0.5000 0.0000
Cl1 Cl 0.2098 0.2098 0.4196
Cl2 Cl 0.2098 0.7902 0.0000
Cl3 Cl 0.2562 0.2562 0.0000
Cl4 Cl 0.7438 0.7438 0.0000
Cl5 Cl 0.7902 0.2098 0.0000
Cl6 Cl 0.7902 0.7902 0.5804
```